(1)
MgSc2, relaxed, DFT PBE-GGA; final energy = -14.2 eV per formula unit
1.0
13.895 -0.067 0.000
12.397 6.276 0.000
-13.146 -3.105 3.258
Sc Mg
8 4
direct
0.749 0.749 0.000 Sc
0.251 0.251 0.000 Sc
0.999 0.499 0.500 Sc
0.501 0.001 0.500 Sc
0.583 0.583 0.000 Sc
0.417 0.417 0.000 Sc
0.833 0.333 0.500 Sc
0.667 0.167 0.500 Sc
0.916 0.916 0.000 Mg
0.084 0.084 0.000 Mg
0.166 0.666 0.500 Mg
0.334 0.834 0.500 Mg

(2)
Na2AcIO6, relaxed, DFT PBE-GGA; E_form (uncorrected) = -1.62 eV/atom
1.0
5.788 0.000 -0.006
0.000 6.033 0.000
0.041 0.000 8.340
Na Ac I O
4 2 2 12
direct
0.007 0.964 0.265 Na
0.507 0.536 0.765 Na
0.993 0.036 0.735 Na
0.493 0.464 0.235 Na
0.500 0.000 0.000 Ac
0.000 0.500 0.500 Ac
0.500 0.000 0.500 I
0.000 0.500 0.000 I
0.272 0.669 0.038 O
0.772 0.831 0.538 O
0.728 0.331 0.962 O
0.228 0.169 0.462 O
0.341 0.742 0.424 O
0.841 0.758 0.924 O
0.659 0.258 0.576 O
0.159 0.242 0.076 O
0.894 0.566 0.212 O
0.394 0.934 0.712 O
0.106 0.434 0.788 O
0.606 0.066 0.288 O

(3)
HoEr9Tm2, relaxed, DFT PBE-GGA; energy relative to the lowest polymorph listed for this composition = 0 meV/atom
1.0
-2.909 -3.988 0.334
3.820 -2.643 1.702
-3.579 3.775 13.892
Ho Er Tm
1 9 2
direct
0.000 0.000 0.000 Ho
0.500 0.500 0.000 Er
0.500 0.500 0.334 Er
0.500 0.500 0.666 Er
0.500 0.000 0.167 Er
0.500 0.000 0.500 Er
0.500 0.000 0.833 Er
0.000 0.500 0.167 Er
0.000 0.500 0.500 Er
0.000 0.500 0.833 Er
0.000 0.000 0.334 Tm
0.000 0.000 0.666 Tm

What is the formula in the first record? MgSc2